(1)
Here is a crystal of Ho2ZrS5 relaxed with PBEsol from the Alexandria database. Energies are from SCAN.

Lattice parameters (Å, degrees): 11.3749 7.6215 7.1331 90.00 90.00 90.00
With the nearest neighbours (Å) after each atom.
Space group Pnma (No. 62)
Unique sites:
Ho 0.1790 0.0028 0.0225 [8 per cell]  8 S 2.75-2.92
Zr 0.0070 0.7500 0.5798 [4 per cell]  7 S 2.50-2.67
S 0.0024 0.7500 0.9523 [4 per cell]  1 Zr 2.66, 4 Ho 2.80-2.83
S 0.0952 0.0398 0.6623 [8 per cell]  2 Zr 2.50-2.63, 2 Ho 2.75-2.78
S 0.1820 0.7500 0.3294 [4 per cell]  1 Zr 2.67, 4 Ho 2.82-2.92
S 0.2100 0.2500 0.3076 [4 per cell]  1 Zr 2.60, 4 Ho 2.77-2.79


(2)
Here is a crystal of Ho2Sb5 relaxed with PBEsol from the Alexandria database. Energies are from SCAN.

Lattice parameters (Å, degrees): 12.9630 4.1356 14.3754 90.00 101.77 90.00
With the nearest neighbours (Å) after each atom.
Space group P2_1/m (No. 11)
Unique sites:
Ho 0.0459 0.2500 0.3620 [2 per cell]  9 Sb 3.11-3.38
Ho 0.3324 0.2500 0.5779 [2 per cell]  9 Sb 3.11-3.27
Ho 0.3384 0.2500 0.8555 [2 per cell]  9 Sb 3.07-3.26
Ho 0.3912 0.7500 0.2293 [2 per cell]  9 Sb 3.05-3.27
Sb 0.0307 0.2500 0.0836 [2 per cell]  5 Sb 2.87-3.15
Sb 0.1397 0.2500 0.6793 [2 per cell]  4 Sb 3.00-3.12, 4 Ho 3.14-3.22
Sb 0.1410 0.7500 0.2227 [2 per cell]  4 Sb 3.03-3.06, 3 Ho 3.22-3.29
Sb 0.1451 0.7500 0.5179 [2 per cell]  2 Sb 3.12, 5 Ho 3.13-3.29
Sb 0.1521 0.7500 0.8321 [2 per cell]  3 Sb 2.87-3.00, 2 Ho 3.15
Sb 0.2757 0.2500 0.0640 [2 per cell]  3 Sb 2.92-3.25, 3 Ho 3.26-3.27
Sb 0.2812 0.2500 0.3457 [2 per cell]  4 Sb 2.99-3.06, 4 Ho 3.11-3.27
Sb 0.4201 0.7500 0.0240 [2 per cell]  4 Sb 2.92-3.10, 4 Ho 3.05-3.25
Sb 0.4260 0.7500 0.7345 [2 per cell]  6 Ho 3.07-3.11
Sb 0.4267 0.7500 0.4494 [2 per cell]  4 Sb 2.98-2.99, 4 Ho 3.10-3.23


no.,formation energy without anion corrections (kJ/mol of formula units)
1,-1651
2,-466